# Zr2AsPb

A relaxed Zr2AsPb crystal (PBE-GGA, the Alexandria database).

Calculated values
ΔE to the lowest computed polymorph = 108.4 meV/atom
E_tot = -6.894 eV/atom
total moment = 0.0 μB/f.u.
space group = P4/mmm (123)

Cell: 3.3398 3.3398 7.7797 Å, 90.00 90.00 90.00°
Closest atoms and distances in Å follow each position.
Fractional coordinates of all 4 atoms:
Zr  0.0000  0.0000  0.2043  4 As 2.85, 1 Zr 3.18
Zr  0.0000  0.0000  0.7957  4 As 2.85, 1 Zr 3.18
As  0.5000  0.5000  0.0000  8 Zr 2.85
Pb  0.5000  0.5000  0.5000  8 Zr 3.30, 4 Pb 3.34

# LiAuBr2

A relaxed LiAuBr2 crystal (PBE-GGA, the Alexandria database).

Calculated values
E_form (uncorrected) = -0.57 eV/atom
ΔE to the lowest computed polymorph = 208.8 meV/atom
E_tot = -2.707 eV/atom
total moment = 0.0 μB/f.u.
space group = P2/m (10)

Cell: 4.6582 3.8438 6.4284 Å, 90.00 90.87 90.00°
Closest atoms and distances in Å follow each position.
Fractional coordinates of all 4 atoms:
Li  0.0000  0.0000  0.0000  4 Br 2.69
Au  0.0000  0.0000  0.5000  4 Br 2.75
Br  0.2284  0.5000  0.7598  2 Li 2.69, 2 Au 2.75
Br  0.7716  0.5000  0.2402  2 Li 2.69, 2 Au 2.75

# Nd2Ga4PdPt3

A relaxed Nd2Ga4PdPt3 crystal (PBE-GGA, the Alexandria database).

Calculated values
E_tot = -5.439 eV/atom
total moment = 0.0 μB/f.u.
space group = P-4m2 (115)

Cell: 4.3447 4.3447 10.2995 Å, 90.00 90.00 90.00°
Closest atoms and distances in Å follow each position.
Fractional coordinates of all 10 atoms:
Nd  0.0000  0.5000  0.2464  6 Pt 3.29-3.40, 8 Ga 3.33-3.34, 2 Pd 3.40
Nd  0.5000  0.0000  0.7536  6 Pt 3.29-3.40, 8 Ga 3.33-3.34, 2 Pd 3.40
Ga  0.0000  0.0000  0.0000  4 Pt 2.56
Ga  0.0000  0.5000  0.6281  3 Pt 2.48-2.54, 2 Pd 2.54
Ga  0.5000  0.0000  0.3719  3 Pt 2.48-2.54, 2 Pd 2.54
Ga  0.5000  0.5000  0.0000  4 Pt 2.56
Pd  0.0000  0.0000  0.5000  4 Ga 2.54
Pt  0.0000  0.5000  0.8690  5 Ga 2.48-2.56
Pt  0.5000  0.0000  0.1310  5 Ga 2.48-2.56
Pt  0.5000  0.5000  0.5000  4 Ga 2.54

# Y2ErZn2

A relaxed Y2ErZn2 crystal (PBE-GGA, the Alexandria database).

Calculated values
ΔE to the lowest computed polymorph = 0.0 meV/atom
E_tot = -4.282 eV/atom
total moment = 0.0 μB/f.u.
space group = P2_1/m (11)

Cell: 3.6108 5.1300 13.3129 Å, 90.00 97.81 90.00°
Closest atoms and distances in Å follow each position.
Fractional coordinates of all 10 atoms:
Y  0.0464  0.2500  0.0923  8 Zn 3.06-3.14
Y  0.2317  0.2500  0.4642  2 Zn 3.03, 4 Y 3.27-3.28
Y  0.7683  0.7500  0.5358  2 Zn 3.03, 4 Y 3.27-3.28
Y  0.9536  0.7500  0.9077  8 Zn 3.06-3.14
Er  0.1440  0.7500  0.2868  6 Zn 3.05-3.14
Er  0.8560  0.2500  0.7132  6 Zn 3.05-3.14
Zn  0.3601  0.7500  0.7205  4 Y 3.03-3.06, 4 Er 3.14
Zn  0.4502  0.2500  0.9001  2 Er 3.05-3.06, 6 Y 3.11-3.14
Zn  0.5498  0.7500  0.0999  2 Er 3.05-3.06, 6 Y 3.11-3.14
Zn  0.6399  0.2500  0.2795  4 Y 3.03-3.06, 4 Er 3.14

> E_tot of number 3 (Nd2Ga4PdPt3)?

-5.439 eV/atom